(1)
VASP calculation (PBE) on KTbNd2Se4 after structural relaxation.

Cell lengths 7.4036, 4.2112, 7.4367 Å; angles 90.00, 108.64, 90.00 degrees
Last column: nearest neighbours and their distance in Å.
Sites, in units of the cell vectors:
K 0.0000 0.0000 0.0000  6 Se 3.06-3.09
Tb 0.0000 0.5000 0.5000  6 Se 2.96-2.97
Nd 0.5000 0.0000 0.5000  6 Se 2.95-2.97
Nd 0.5000 0.5000 0.0000  6 Se 3.07
Se 0.2453 0.0000 0.7382  2 Tb 2.97, 3 Nd 2.97-3.07, 1 K 3.06
Se 0.2575 0.5000 0.2660  3 Nd 2.95-3.07, 1 Tb 2.96, 2 K 3.09
Se 0.7425 0.5000 0.7340  3 Nd 2.95-3.07, 1 Tb 2.96, 2 K 3.09
Se 0.7547 0.0000 0.2618  2 Tb 2.97, 3 Nd 2.97-3.07, 1 K 3.06

* density: 6.06 Mg/m³
* M_tot: 0.00 μB per formula unit
* DFT total energy: -5.383 eV per atom
* uncorrected formation energy: -1.733 eV per atom

(2)
VASP calculation (PBE) on K4TbNd3Se8 after structural relaxation.

Cell lengths 9.1792, 9.1792, 9.1792 Å; angles 56.16, 56.16, 56.16 degrees
Last column: nearest neighbours and their distance in Å.
Sites, in units of the cell vectors:
K 0.0000 0.0000 0.0000  6 Se 3.39
K 0.0000 0.5000 0.5000  6 Se 3.34
K 0.5000 0.0000 0.5000  6 Se 3.34
K 0.5000 0.5000 0.0000  6 Se 3.34
Tb 0.5000 0.5000 0.5000  6 Se 2.93
Nd 0.0000 0.0000 0.5000  6 Se 2.98-2.99
Nd 0.0000 0.5000 0.0000  6 Se 2.98-2.99
Nd 0.5000 0.0000 0.0000  6 Se 2.98-2.99
Se 0.2373 0.2373 0.2373  3 Nd 2.98, 3 K 3.34
Se 0.2425 0.7332 0.7332  1 Tb 2.93, 2 Nd 2.99
Se 0.2668 0.2668 0.7575  1 Tb 2.93, 2 Nd 2.99
Se 0.2668 0.7575 0.2668  1 Tb 2.93, 2 Nd 2.99
Se 0.7332 0.2425 0.7332  1 Tb 2.93, 2 Nd 2.99
Se 0.7332 0.7332 0.2425  1 Tb 2.93, 2 Nd 2.99
Se 0.7575 0.2668 0.2668  1 Tb 2.93, 2 Nd 2.99
Se 0.7627 0.7627 0.7627  3 Nd 2.98, 3 K 3.34

* density: 4.60 Mg/m³
* M_tot: 0.00 μB per formula unit
* DFT total energy: -4.955 eV per atom
* uncorrected formation energy: -1.755 eV per atom

(3)
VASP calculation (PBE) on K4Tb3NdSe8 after structural relaxation.

Cell lengths 9.1307, 9.1307, 9.1307 Å; angles 55.65, 55.65, 55.65 degrees
Last column: nearest neighbours and their distance in Å.
Sites, in units of the cell vectors:
K 0.0000 0.0000 0.0000  6 Se 3.30
K 0.0000 0.5000 0.5000  6 Se 3.35
K 0.5000 0.0000 0.5000  6 Se 3.35
K 0.5000 0.5000 0.0000  6 Se 3.35
Tb 0.0000 0.0000 0.5000  6 Se 2.91-2.92
Tb 0.0000 0.5000 0.0000  6 Se 2.91-2.92
Tb 0.5000 0.0000 0.0000  6 Se 2.91-2.92
Nd 0.5000 0.5000 0.5000  6 Se 2.97
Se 0.2298 0.7390 0.7390  2 Tb 2.91, 1 Nd 2.97
Se 0.2350 0.2350 0.2350  3 Tb 2.92
Se 0.2610 0.2610 0.7702  2 Tb 2.91, 1 Nd 2.97
Se 0.2610 0.7702 0.2610  2 Tb 2.91, 1 Nd 2.97
Se 0.7390 0.2298 0.7390  2 Tb 2.91, 1 Nd 2.97
Se 0.7390 0.7390 0.2298  2 Tb 2.91, 1 Nd 2.97
Se 0.7650 0.7650 0.7650  3 Tb 2.92
Se 0.7702 0.2610 0.2610  2 Tb 2.91, 1 Nd 2.97

* density: 4.84 Mg/m³
* M_tot: 0.00 μB per formula unit
* DFT total energy: -4.944 eV per atom
* uncorrected formation energy: -1.762 eV per atom

(4)
VASP calculation (PBE) on K2NdTeSe4 after structural relaxation.

Cell lengths 8.7410, 8.7410, 8.7392 Å; angles 117.49, 117.49, 89.92 degrees
Last column: nearest neighbours and their distance in Å.
Sites, in units of the cell vectors:
K 0.0000 0.0000 0.0000  4 Se 3.23-3.24
K 0.0000 0.0000 0.5000  4 Se 3.23-3.24
K 0.0000 0.5000 0.0000  6 Se 3.25-3.41
K 0.5000 0.0000 0.5000  6 Se 3.25-3.41
Nd 0.5000 0.5000 0.0000  6 Se 2.97-3.03
Nd 0.5000 0.5000 0.5000  6 Se 2.97-3.03
Te 0.0000 0.5000 0.5000  4 Se 2.79-2.87
Te 0.5000 0.0000 0.0000  4 Se 2.79-2.87
Se 0.2314 0.7095 0.4905  1 Te 2.79, 1 Nd 2.97
Se 0.2610 0.2984 0.5435  1 Te 2.87, 2 Nd 3.00-3.03
Se 0.2905 0.7686 0.0095  1 Te 2.79, 1 Nd 2.97
Se 0.2984 0.2610 0.0435  1 Te 2.87, 2 Nd 3.00-3.03
Se 0.7016 0.7390 0.9565  1 Te 2.87, 2 Nd 3.00-3.03
Se 0.7095 0.2314 0.9905  1 Te 2.79, 1 Nd 2.97
Se 0.7390 0.7016 0.4565  1 Te 2.87, 2 Nd 3.00-3.03
Se 0.7686 0.2905 0.5095  1 Te 2.79, 1 Nd 2.97

* density: 4.37 Mg/m³
* M_tot: 0.00 μB per formula unit
* DFT total energy: -4.072 eV per atom
* uncorrected formation energy: -1.067 eV per atom

(5)
VASP calculation (PBE) on KNd2TeSe4 after structural relaxation.

Cell lengths 7.8032, 7.8032, 15.6187 Å; angles 90.00, 90.00, 147.35 degrees
Last column: nearest neighbours and their distance in Å.
Sites, in units of the cell vectors:
K 0.1634 0.8366 0.7500  6 Se 3.31-3.40
K 0.8366 0.1634 0.2500  6 Se 3.31-3.40
Nd 0.3687 0.6313 0.5571  5 Se 2.86-3.08
Nd 0.3687 0.6313 0.9429  5 Se 2.86-3.08
Nd 0.6313 0.3687 0.0571  5 Se 2.86-3.08
Nd 0.6313 0.3687 0.4429  5 Se 2.86-3.08
Te 0.0941 0.9059 0.2500  2 Se 2.59
Te 0.9059 0.0941 0.7500  2 Se 2.59
Se 0.0000 0.0000 0.0000  4 Nd 3.08
Se 0.0000 0.0000 0.5000  4 Nd 3.08
Se 0.2663 0.7337 0.0976  3 Nd 2.86-3.05
Se 0.2663 0.7337 0.4024  3 Nd 2.86-3.05
Se 0.4978 0.5022 0.7500  2 Te 2.59
Se 0.5022 0.4978 0.2500  2 Te 2.59
Se 0.7337 0.2663 0.5976  3 Nd 2.86-3.05
Se 0.7337 0.2663 0.9024  3 Nd 2.86-3.05

* density: 4.99 Mg/m³
* M_tot: 0.00 μB per formula unit
* DFT total energy: -4.695 eV per atom
* uncorrected formation energy: -1.231 eV per atom

(6)
VASP calculation (PBE) on K4NdTh3Se8 after structural relaxation.

Cell lengths 9.2499, 9.2499, 9.2499 Å; angles 54.88, 54.88, 54.88 degrees
Last column: nearest neighbours and their distance in Å.
Sites, in units of the cell vectors:
K 0.0000 0.0000 0.0000  6 Se 3.29
K 0.0000 0.5000 0.5000  6 Se 3.31-3.33
K 0.5000 0.0000 0.5000  6 Se 3.31-3.33
K 0.5000 0.5000 0.0000  6 Se 3.31-3.33
Nd 0.5000 0.5000 0.5000  6 Se 3.01
Th 0.0000 0.0000 0.5000  6 Se 2.98-2.99
Th 0.0000 0.5000 0.0000  6 Se 2.98-2.99
Th 0.5000 0.0000 0.0000  6 Se 2.98-2.99
Se 0.2348 0.7408 0.7408  2 Th 2.98, 1 Nd 3.01, 3 K 3.29-3.33
Se 0.2391 0.2391 0.2391  3 Th 2.99, 3 K 3.31
Se 0.2592 0.2592 0.7652  2 Th 2.98, 1 Nd 3.01, 3 K 3.29-3.33
Se 0.2592 0.7652 0.2592  2 Th 2.98, 1 Nd 3.01, 3 K 3.29-3.33
Se 0.7408 0.2348 0.7408  2 Th 2.98, 1 Nd 3.01, 3 K 3.29-3.33
Se 0.7408 0.7408 0.2348  2 Th 2.98, 1 Nd 3.01, 3 K 3.29-3.33
Se 0.7609 0.7609 0.7609  3 Th 2.99, 3 K 3.31
Se 0.7652 0.2592 0.2592  2 Th 2.98, 1 Nd 3.01, 3 K 3.29-3.33

* density: 5.49 Mg/m³
* M_tot: 0.00 μB per formula unit
* DFT total energy: -5.299 eV per atom
* uncorrected formation energy: -1.593 eV per atom

(7)
VASP calculation (PBE) on K4Nd3ThSe8 after structural relaxation.

Cell lengths 9.2019, 9.2019, 9.2019 Å; angles 56.03, 56.03, 56.03 degrees
Last column: nearest neighbours and their distance in Å.
Sites, in units of the cell vectors:
K 0.0000 0.0000 0.0000  6 Se 3.37
K 0.0000 0.5000 0.5000  6 Se 3.32-3.34
K 0.5000 0.0000 0.5000  6 Se 3.32-3.34
K 0.5000 0.5000 0.0000  6 Se 3.32-3.34
Nd 0.0000 0.0000 0.5000  6 Se 2.99-3.01
Nd 0.0000 0.5000 0.0000  6 Se 2.99-3.01
Nd 0.5000 0.0000 0.0000  6 Se 2.99-3.01
Th 0.5000 0.5000 0.5000  6 Se 2.95
Se 0.2379 0.2379 0.2379  3 Nd 2.99, 3 K 3.34
Se 0.2432 0.7348 0.7348  1 Th 2.95, 2 Nd 3.01
Se 0.2652 0.2652 0.7568  1 Th 2.95, 2 Nd 3.01
Se 0.2652 0.7568 0.2652  1 Th 2.95, 2 Nd 3.01
Se 0.7348 0.2432 0.7348  1 Th 2.95, 2 Nd 3.01
Se 0.7348 0.7348 0.2432  1 Th 2.95, 2 Nd 3.01
Se 0.7568 0.2652 0.2652  1 Th 2.95, 2 Nd 3.01
Se 0.7621 0.7621 0.7621  3 Nd 2.99, 3 K 3.34

* density: 4.82 Mg/m³
* M_tot: 0.00 μB per formula unit
* DFT total energy: -5.078 eV per atom
* uncorrected formation energy: -1.704 eV per atom

(8)
VASP calculation (PBE) on K3Nd2ThSe6 after structural relaxation.

Cell lengths 10.1655, 10.1655, 9.2118 Å; angles 108.03, 108.03, 24.51 degrees
Last column: nearest neighbours and their distance in Å.
Sites, in units of the cell vectors:
K 0.0000 0.0000 0.0000  6 Se 3.31-3.36
K 0.3312 0.3312 0.6668  6 Se 3.31-3.35
K 0.6688 0.6688 0.3332  6 Se 3.31-3.35
Nd 0.3314 0.3314 0.1619  6 Se 2.97-3.05
Nd 0.6686 0.6686 0.8381  6 Se 2.97-3.05
Th 0.0000 0.0000 0.5000  6 Se 2.94-2.97
Se 0.1558 0.1558 0.6004  1 Th 2.94, 2 Nd 3.03
Se 0.1739 0.1739 0.0649  3 Nd 2.97-2.98, 3 K 3.31
Se 0.4933 0.4933 0.2742  2 Th 2.97, 1 Nd 3.05
Se 0.5067 0.5067 0.7258  2 Th 2.97, 1 Nd 3.05
Se 0.8261 0.8261 0.9351  3 Nd 2.97-2.98, 3 K 3.31
Se 0.8442 0.8442 0.3996  1 Th 2.94, 2 Nd 3.03

* density: 4.93 Mg/m³
* M_tot: 0.00 μB per formula unit
* DFT total energy: -5.114 eV per atom
* uncorrected formation energy: -1.684 eV per atom

(9)
VASP calculation (PBE) on K3Nd2TiSe6 after structural relaxation.

Cell lengths 7.2758, 7.2758, 8.0605 Å; angles 98.70, 98.70, 120.03 degrees
Last column: nearest neighbours and their distance in Å.
Sites, in units of the cell vectors:
K 0.0000 0.0000 0.0000  6 Se 3.26-3.48
K 0.3286 0.6714 0.0000  6 Se 3.27-3.43
K 0.6714 0.3286 0.0000  6 Se 3.27-3.43
Nd 0.1663 0.8337 0.5000  6 Se 2.97
Nd 0.8337 0.1663 0.5000  6 Se 2.97
Ti 0.5000 0.5000 0.5000  6 Se 2.72-2.73
Se 0.1248 0.4322 0.2968  1 Ti 2.73, 2 Nd 2.97
Se 0.2622 0.2622 0.7033  1 Ti 2.72, 2 Nd 2.97
Se 0.4322 0.1248 0.2968  1 Ti 2.73, 2 Nd 2.97
Se 0.5678 0.8752 0.7032  1 Ti 2.73, 2 Nd 2.97
Se 0.7378 0.7378 0.2967  1 Ti 2.72, 2 Nd 2.97
Se 0.8752 0.5678 0.7032  1 Ti 2.73, 2 Nd 2.97

* density: 4.37 Mg/m³
* M_tot: 1.00 μB per formula unit
* DFT total energy: -4.986 eV per atom
* uncorrected formation energy: -1.517 eV per atom

(10)
VASP calculation (PBE) on K2NdTiSe4 after structural relaxation.

Cell lengths 7.1248, 4.1203, 8.0348 Å; angles 90.00, 107.15, 90.00 degrees
Last column: nearest neighbours and their distance in Å.
Sites, in units of the cell vectors:
K 0.0000 0.0000 0.0000  6 Se 3.41
K 0.5000 0.5000 0.0000  6 Se 3.22
Nd 0.0000 0.5000 0.5000  6 Se 2.94-2.95
Ti 0.5000 0.0000 0.5000  6 Se 2.70-2.74
Se 0.2614 0.0000 0.7061  1 Ti 2.70, 2 Nd 2.94
Se 0.2926 0.5000 0.3065  2 Ti 2.74, 1 Nd 2.95
Se 0.7074 0.5000 0.6935  2 Ti 2.74, 1 Nd 2.95
Se 0.7386 0.0000 0.2939  1 Ti 2.70, 2 Nd 2.94

* density: 4.32 Mg/m³
* M_tot: 1.00 μB per formula unit
* DFT total energy: -5.008 eV per atom
* uncorrected formation energy: -1.409 eV per atom

(11)
VASP calculation (PBE) on K4Nd3TiSe8 after structural relaxation.

Cell lengths 9.1204, 9.1204, 9.1204 Å; angles 55.37, 55.37, 55.37 degrees
Last column: nearest neighbours and their distance in Å.
Sites, in units of the cell vectors:
K 0.0000 0.0000 0.0000  6 Se 3.49
K 0.0000 0.5000 0.5000  6 Se 3.28-3.29
K 0.5000 0.0000 0.5000  6 Se 3.28-3.29
K 0.5000 0.5000 0.0000  6 Se 3.28-3.29
Nd 0.0000 0.0000 0.5000  6 Se 2.96-2.98
Nd 0.0000 0.5000 0.0000  6 Se 2.96-2.98
Nd 0.5000 0.0000 0.0000  6 Se 2.96-2.98
Ti 0.5000 0.5000 0.5000  6 Se 2.75
Se 0.2385 0.2385 0.2385  3 Nd 2.96, 3 K 3.28
Se 0.2585 0.7216 0.7216  1 Ti 2.75, 2 Nd 2.98
Se 0.2784 0.2784 0.7415  1 Ti 2.75, 2 Nd 2.98
Se 0.2784 0.7415 0.2784  1 Ti 2.75, 2 Nd 2.98
Se 0.7216 0.2585 0.7216  1 Ti 2.75, 2 Nd 2.98
Se 0.7216 0.7216 0.2585  1 Ti 2.75, 2 Nd 2.98
Se 0.7415 0.2784 0.2784  1 Ti 2.75, 2 Nd 2.98
Se 0.7615 0.7615 0.7615  3 Nd 2.96, 3 K 3.28

* density: 4.40 Mg/m³
* M_tot: 1.00 μB per formula unit
* DFT total energy: -4.972 eV per atom
* uncorrected formation energy: -1.567 eV per atom

(12)
VASP calculation (PBE) on K3Nd3TiSe8 after structural relaxation.

Cell lengths 9.2338, 9.2338, 9.2338 Å; angles 54.15, 54.15, 54.15 degrees
Last column: nearest neighbours and their distance in Å.
Sites, in units of the cell vectors:
K 0.0000 0.5000 0.5000  6 Se 3.31-3.34
K 0.5000 0.0000 0.5000  6 Se 3.31-3.34
K 0.5000 0.5000 0.0000  6 Se 3.31-3.34
Nd 0.0000 0.0000 0.5000  6 Se 2.95-2.98
Nd 0.0000 0.5000 0.0000  6 Se 2.95-2.98
Nd 0.5000 0.0000 0.0000  6 Se 2.95-2.98
Ti 0.5000 0.5000 0.5000  6 Se 2.65
Se 0.2378 0.2378 0.2378  3 Nd 2.95
Se 0.2653 0.7139 0.7139  1 Ti 2.65
Se 0.2861 0.2861 0.7347  1 Ti 2.65
Se 0.2861 0.7347 0.2861  1 Ti 2.65
Se 0.7139 0.2653 0.7139  1 Ti 2.65
Se 0.7139 0.7139 0.2653  1 Ti 2.65
Se 0.7347 0.2861 0.2861  1 Ti 2.65
Se 0.7622 0.7622 0.7622  3 Nd 2.95

* density: 4.25 Mg/m³
* M_tot: 0.00 μB per formula unit
* DFT total energy: -5.134 eV per atom
* uncorrected formation energy: -1.577 eV per atom

- density of number 8 (K3Nd2ThSe6)?
  4.93 Mg/m³

- Look up the density of the twelfth one.
  4.25 Mg/m³

- Number 8 is which compound?
  K3Nd2ThSe6